No. 1
Entry from Alexandria via LeMat-Bulk: a relaxed CrGaTc crystal (PBE).

Geometry as POSCAR:
```
CrGaTc
1.0
-0.0723 5.8873 1.6316
-3.0052 -0.0505 0.0491
0.2206 -5.4953 7.8444
Cr Tc Ga
4 4 4
Cartesian
0.1045 -2.5156 3.8032
-1.2878 -5.2885 7.7500
0.0073 1.0089 1.4830
-1.3850 -1.7640 5.4298
-0.0303 4.0356 2.2984
-1.4225 1.2627 6.2452
0.1650 -3.5134 6.4815
-1.4479 -0.7910 2.5839
0.0704 0.1445 4.4561
-1.3219 -2.6284 8.4029
0.1302 -0.5162 7.4323
-1.4827 2.2062 3.5347
```

## Properties
DOS(E_F) in states/eV per atom: 0.798
ΔH_f (0 K) in eV/atom: 0.00
Total energy in eV for the cell shown: -92.08


No. 2
Entry from Alexandria via LeMat-Bulk: a relaxed CrGaTc2 crystal (PBE).

Geometry as POSCAR:
```
CrGaTc2
1.0
0.4030 5.6949 -2.3286
-4.1324 -3.7837 2.5736
0.4523 -4.2919 4.4036
Cr Ga Tc
1 1 2
Cartesian
0.0000 0.0000 0.0000
-1.8400 -4.0378 3.4886
-0.7494 -1.6445 1.4209
-2.9306 -6.4310 5.5563
```

## Properties
DOS(E_F) in states/eV per atom: 0.933
ΔH_f (0 K) in eV/atom: 0.48
Total energy in eV for the cell shown: -31.47


No. 3
Entry from Alexandria via LeMat-Bulk: a relaxed CrGaTc crystal (PBE).

Geometry as POSCAR:
```
CrGaTc
1.0
4.2522 0.0000 0.0000
0.0000 3.0464 0.0000
0.0000 0.0000 12.7857
Cr Tc Ga
4 4 4
Cartesian
2.1261 0.0000 7.0848
2.1261 1.5232 0.6920
2.1261 0.0000 2.4992
2.1261 1.5232 8.8920
0.0000 0.0000 4.5501
0.0000 1.5232 10.9429
0.0000 0.0000 0.3021
0.0000 1.5232 6.6950
0.0000 0.0000 8.8225
0.0000 1.5232 2.4297
2.1261 0.0000 11.2214
2.1261 1.5232 4.8285
```

## Properties
DOS(E_F) in states/eV per atom: 0.718
ΔH_f (0 K) in eV/atom: -0.06
Total energy in eV for the cell shown: -92.78


No. 4
Entry from Alexandria via LeMat-Bulk: a relaxed Cr2GaTc crystal (PBE).

Geometry as POSCAR:
```
Cr2GaTc
1.0
3.0238 0.0000 0.0000
0.0000 3.0238 0.0000
0.0000 0.0000 5.8591
Cr Tc Ga
2 1 1
Cartesian
0.0000 0.0000 4.4214
0.0000 0.0000 1.4377
1.5119 1.5119 0.0000
1.5119 1.5119 2.9295
```

## Properties
DOS(E_F) in states/eV per atom: 0.784
ΔH_f (0 K) in eV/atom: 0.04
Total energy in eV for the cell shown: -32.48


No. 5
Entry from Alexandria via LeMat-Bulk: a relaxed CrGaTc2 crystal (PBE).

Geometry as POSCAR:
```
CrGaTc2
1.0
4.3028 0.0000 0.0000
2.1514 3.7264 0.0000
2.1514 1.2421 3.5138
Cr Ga Tc
1 1 2
Cartesian
6.4543 3.7264 2.6364
4.3028 2.4842 1.7572
2.1514 1.2421 3.5120
2.1514 1.2421 0.8787
```

## Properties
DOS(E_F) in states/eV per atom: 0.958
ΔH_f (0 K) in eV/atom: 0.08
Total energy in eV for the cell shown: -33.08


No. 6
Entry from Alexandria via LeMat-Bulk: a relaxed CrGaTc2 crystal (PBE).

Geometry as POSCAR:
```
CrGaTc2
1.0
-0.4136 -0.6737 2.6458
-2.4484 -0.9903 0.8061
1.8245 -8.7735 -0.5077
Cr Tc Ga
1 2 1
Cartesian
0.0000 0.0000 0.0000
1.1165 -6.6792 -0.0851
-2.1539 -3.7583 3.0293
-0.5187 -5.2188 1.4721
```

## Properties
DOS(E_F) in states/eV per atom: 0.784
ΔH_f (0 K) in eV/atom: 0.41
Total energy in eV for the cell shown: -31.74